1.
The following is a PBE calculation of TmGa4NiPd2 after structural relaxation, from Alexandria.

```
8
Lattice="4.246 0.000 0.000 2.123 3.677 0.000 2.123 1.226 8.465" Properties=species:S:1:pos:R:3 pbc="T T T"
Ga 4.246 2.452 6.807
Ga 4.246 2.452 1.658
Ga 2.123 1.226 5.033
Ga 6.370 3.677 3.432
Ni 4.246 2.452 4.233
Pd 6.370 3.677 6.137
Pd 2.123 1.226 2.329
Tm 0.000 0.000 0.000
```

Calculated values
The calculation puts the raw total energy at -37.274 eV/cell. The symmetry is R-3m. The density of states at the Fermi level comes out at 3.9 states/eV/cell. Its spin magnetization is 0.0 μB/cell. The value obtained for the formation energy is -566 meV per atom.

=====

2.
The following is a PBE calculation of TmGa4Ni2Pd after structural relaxation, from Alexandria.

```
8
Lattice="-1.452 -3.402 1.845 1.331 -3.727 -1.193 6.352 -1.953 6.027" Properties=species:S:1:pos:R:3 pbc="T T T"
Pd 3.115 -4.541 3.339
Ni 1.789 -2.255 1.880
Ni 4.442 -6.826 4.799
Tm 0.000 0.000 0.000
Ga 1.172 -4.669 1.573
Ga 5.058 -4.412 5.105
Ga 2.287 -6.969 2.841
Ga 3.943 -2.113 3.838
```

Calculated values
The calculation puts the raw total energy at -37.164 eV/cell. The symmetry is R-3m. The density of states at the Fermi level comes out at 5.3 states/eV/cell. Its spin magnetization is 0.0 μB/cell. The value obtained for the formation energy is -479 meV per atom.

=====

3.
The following is a PBE calculation of TmGa3NiPd after structural relaxation, from Alexandria.

```
12
Lattice="-3.999 1.147 3.853 -4.128 0.035 -4.295 1.140 -6.053 2.986" Properties=species:S:1:pos:R:3 pbc="T T T"
Ga -4.934 0.599 -1.127
Ga -5.727 -3.456 1.344
Ga -2.935 0.025 -3.054
Ga -3.193 0.584 0.685
Ga -1.193 0.010 -1.242
Ga -1.260 -1.415 1.199
Tm -3.512 -2.490 3.355
Tm -3.475 -2.381 -0.812
Pd -1.638 -3.883 1.542
Pd -5.349 -0.988 1.001
Ni -3.126 0.031 3.005
Ni -3.860 -4.902 -0.462
```

Calculated values
The calculation puts the raw total energy at -54.787 eV/cell. The symmetry is Cmcm. The density of states at the Fermi level comes out at 5.3 states/eV/cell. Its spin magnetization is 0.0 μB/cell. The value obtained for the formation energy is -478 meV per atom.